# 1
Tb6Ho4Er19: optimized geometry, GGA-PBE.

extended XYZ file:
```
29
Lattice="-6.1524 6.1524 6.1524 6.1524 -6.1524 6.1524 6.1524 6.1524 -6.1524" Properties=species:S:1:pos:R:3 pbc="T T T"
Tb 6.1524 1.5669 0.0000
Tb 6.1524 0.0000 4.5855
Tb 4.5855 6.1524 0.0000
Tb 1.5669 0.0000 6.1524
Tb 0.0000 6.1524 1.5669
Tb 0.0000 4.5855 6.1524
Ho 2.2018 2.2018 -2.2018
Ho 2.2018 -2.2018 2.2018
Ho -2.2018 2.2018 2.2018
Ho 3.9506 3.9506 3.9506
Er 0.0000 0.0000 0.0000
Er 3.1948 0.0000 0.0000
Er 9.1100 0.0000 0.0000
Er 5.3721 2.9478 -2.7355
Er 8.8879 -0.7803 3.2047
Er 2.9478 -2.7355 5.3721
Er 0.0000 3.1948 0.0000
Er 0.0000 0.0000 3.1948
Er 3.4169 0.7803 3.2047
Er 3.2047 3.4169 0.7803
Er 6.9327 2.9478 2.7355
Er 0.7803 3.2047 3.4169
Er 3.2047 8.8879 -0.7803
Er -2.7355 5.3721 2.9478
Er 0.0000 9.1100 0.0000
Er 0.0000 0.0000 9.1100
Er 2.9478 2.7355 6.9327
Er 2.7355 6.9327 2.9478
Er -0.7803 3.2047 8.8879
```

The value obtained for the formation energy is 0.386 eV/atom. The total energy is -4.193 eV/atom.


# 2
Tb6Ho5Er: optimized geometry, GGA-PBE.

extended XYZ file:
```
12
Lattice="3.0616 -5.2978 0.0000 3.0616 5.2978 0.0000 -2.0292 0.0000 11.5207" Properties=species:S:1:pos:R:3 pbc="T T T"
Tb 0.0109 1.7655 8.6428
Tb 1.0222 0.0000 2.8783
Tb 0.0109 -1.7655 8.6428
Tb 4.0830 1.7655 2.8779
Tb 3.0718 0.0000 8.6423
Tb 4.0830 -1.7655 2.8779
Ho -1.0146 0.0000 5.7603
Ho 3.0616 3.5321 0.0000
Ho 2.0470 1.7657 5.7603
Ho 2.0470 -1.7657 5.7603
Ho 3.0616 -3.5321 0.0000
Er 3.0616 0.0000 0.0000
```

The value obtained for the formation energy is 0.016 eV/atom. The total energy is -4.586 eV/atom.